Record 1
# PaNbSn (PBE-GGA, optimized geometry)
# Offset from the most stable computed form: 0.0 meV/atom
# Calculated formation energy: -0.34 eV per formula unit
# E: -7.9703 eV/atom
data_PaNbSn
_space_group_name_H-M_alt 'C 1 2/m 1'
_space_group_IT_number 12
_cell_length_a 9.7393
_cell_length_b 6.0705
_cell_length_c 5.7606
_cell_angle_alpha 90.00
_cell_angle_beta 126.20
_cell_angle_gamma 90.00
loop_
_space_group_symop_operation_xyz
'x,y,z'
'-x,-y,-z'
'-x,y,-z'
'x,-y,z'
'x+1/2,y+1/2,z'
'-x+1/2,-y+1/2,-z'
'-x+1/2,y+1/2,-z'
'x+1/2,-y+1/2,z'
loop_
_atom_site_label
_atom_site_fract_x
_atom_site_fract_y
_atom_site_fract_z
Pa1 0.1453 0.0000 0.3960
Nb1 0.0000 0.5000 0.0000
Nb2 0.0000 0.5000 0.5000
Sn1 0.2500 0.2500 0.0000

Record 2
# PaNbSn2 (PBE-GGA, optimized geometry)
# Offset from the most stable computed form: 30.6 meV/atom
# Calculated formation energy: -0.15 eV per formula unit
# E: -6.9291 eV/atom
data_PaNbSn2
_space_group_name_H-M_alt 'P 4/m m m'
_space_group_IT_number 123
_space_group_name_Hall '-P 4 2'
_cell_length_a 4.4047
_cell_length_b 4.4047
_cell_length_c 4.7436
_cell_angle_alpha 90.00
_cell_angle_beta 90.00
_cell_angle_gamma 90.00
loop_
_atom_site_label
_atom_site_fract_x
_atom_site_fract_y
_atom_site_fract_z
Pa1 0.0000 0.0000 0.0000
Nb1 0.5000 0.5000 0.0000
Sn1 0.0000 0.5000 0.5000

Record 3
# PaNbSn (PBE-GGA, optimized geometry)
# Offset from the most stable computed form: 17.4 meV/atom
# Calculated formation energy: -0.29 eV per formula unit
# E: -7.9529 eV/atom
data_PaNbSn
_space_group_name_H-M_alt 'I 4/m m m'
_space_group_IT_number 139
_space_group_name_Hall '-I 4 2'
_cell_length_a 4.4879
_cell_length_b 4.4879
_cell_length_c 14.6565
_cell_angle_alpha 90.00
_cell_angle_beta 90.00
_cell_angle_gamma 90.00
loop_
_atom_site_label
_atom_site_fract_x
_atom_site_fract_y
_atom_site_fract_z
Pa1 0.0000 0.0000 0.1420
Nb1 0.0000 0.5000 0.0000
Sn1 0.0000 0.0000 0.3634